Here is a geometry-optimized NdSm3 structure from Alexandria via LeMat-Bulk. Energies are from PBE-GGA.

**Offset from the most stable computed form**: 127 meV/atom
**Total moment**: 0.001 μB/atom
**Formation energy**: 0.14 eV/atom
**E**: -4.5906 eV per atom
**Space-group type**: Fm-3m

a b c (Å): 5.787 5.787 5.787
angles (deg): 60.00 60.00 60.00
Positions (direct):
Nd: 0.500 0.500 0.500
Sm: 0.000 0.000 0.000
Sm: 0.750 0.750 0.750
Sm: 0.250 0.250 0.250